# Sr2ZnCo (PBE, optimized geometry)
data_Sr2ZnCo
_chemical_formula_sum 'Sr2 Zn1 Co1'
_cell_length_a 3.764
_cell_length_b 3.764
_cell_length_c 7.581
_cell_angle_alpha 90.00
_cell_angle_beta 90.00
_cell_angle_gamma 90.00
_symmetry_space_group_name_H-M 'P 1'
_symmetry_Int_Tables_number 1
loop_
_symmetry_equiv_pos_as_xyz
'x,y,z'
loop_
_atom_site_label
_atom_site_type_symbol
_atom_site_fract_x
_atom_site_fract_y
_atom_site_fract_z
_atom_site_occupancy
Sr1 Sr 0.000 0.000 0.233 1
Sr2 Sr 0.000 0.000 0.767 1
Zn1 Zn 0.500 0.500 0.500 1
Co1 Co 0.500 0.500 0.000 1
# Energy relative to the elements in kJ/mol of formula units: 96
# ρ in g/cm³: 4.6
# Magnetic moment in μB per cell: 0.90
# Space-group type: P4/mmm (123)
# DOS at the Fermi energy in states/eV per atom: 1.741